The following is a GGA-PBE calculation of HfScMn2 after structural relaxation, from Alexandria via LeMat-Bulk.

The density is 8.56 Mg/m³. The calculated volume comes out at 16.16 A^3/atom. Its total energy is -8.649 eV/atom.

It has space group P4/mmm (No. 123), with a = 4.513 Å, b = 4.513 Å, c = 3.175 Å, α = 90.00°, β = 90.00° and γ = 90.00°. The distinct sites, in fractional coordinates, are Hf at (0.000, 0.000, 0.000), Sc at (0.500, 0.500, 0.000) and Mn at (0.000, 0.500, 0.500).

---

The following is a GGA-PBE calculation of Pm6Nd12Y after structural relaxation, from Alexandria via LeMat-Bulk.

The energy above the most stable polymorph in this dataset comes out at 0.00 kJ per mole of atoms. The density is 6.63 Mg/m³. The calculated volume comes out at 35.47 A^3/atom. Its total energy is -4.723 eV/atom.

It has space group R-3 (No. 148, hexagonal axes), with a = 12.3078 Å, b = 12.3078 Å, c = 15.4136 Å, α = 90.00°, β = 90.00° and γ = 120.00°. The distinct sites, in fractional coordinates, are Pm at (0.0134, 0.4237, 0.1854), Nd at (0.0036, 0.8302, 0.6904), Nd at (0.0471, 0.8510, 0.9166) and Y at (0.0000, 0.0000, 0.5000).

---

> Number 2 is which compound?

Pm6Nd12Y

---

> calculated volume of number 1 (HfScMn2)?

16.16 A^3/atom

---

> Among the records above, which one has the highest density?

HfScMn2